No. 1
PmSm15Y4: relaxed, PBE-GGA.

Properties
- Fermi-level density of states (states/eV per cell) = 28.4
- total energy (eV/atom) = -5.054
- DFT formation energy (meV per atom) = 15

a b c (Å): 5.1201 5.1201 25.5569
angles (deg): 90.00 90.00 90.00
With the nearest neighbours (Å) after each atom.
Sites, in units of the cell vectors:
Sm 0.5000 0.0000 0.6998  8 Sm 3.61-3.62, 4 Y 3.61
Sm 0.0000 0.5000 0.1006  2 Y 3.62, 8 Sm 3.62-3.63, 2 Pm 3.63
Sm 0.5000 0.5000 0.2008  8 Sm 3.61-3.62, 4 Y 3.62
Sm 0.5000 0.5000 0.6000  8 Sm 3.61-3.62, 4 Y 3.62
Sm 0.0000 0.5000 0.3002  8 Sm 3.61-3.62, 4 Y 3.61
Sm 0.5000 0.0000 0.5000  4 Y 3.62, 8 Sm 3.62
Sm 0.5000 0.5000 0.4000  8 Sm 3.61-3.62, 4 Y 3.62
Sm 0.5000 0.5000 0.0000  4 Pm 3.62, 8 Sm 3.63
Sm 0.0000 0.5000 0.8994  2 Y 3.62, 8 Sm 3.62-3.63, 2 Pm 3.63
Sm 0.0000 0.5000 0.6998  8 Sm 3.61-3.62, 4 Y 3.61
Sm 0.5000 0.0000 0.3002  8 Sm 3.61-3.62, 4 Y 3.61
Sm 0.5000 0.5000 0.7992  8 Sm 3.61-3.62, 4 Y 3.62
Sm 0.5000 0.0000 0.8994  2 Y 3.62, 8 Sm 3.62-3.63, 2 Pm 3.63
Sm 0.5000 0.0000 0.1006  2 Y 3.62, 8 Sm 3.62-3.63, 2 Pm 3.63
Sm 0.0000 0.5000 0.5000  4 Y 3.62, 8 Sm 3.62
Pm 0.0000 0.0000 0.0000  12 Sm 3.62-3.63
Y 0.0000 0.0000 0.6000  12 Sm 3.61-3.62
Y 0.0000 0.0000 0.2005  12 Sm 3.61-3.62
Y 0.0000 0.0000 0.4000  12 Sm 3.61-3.62
Y 0.0000 0.0000 0.7995  12 Sm 3.61-3.62

***

No. 2
Pm2Sm12Y5: relaxed, PBE-GGA.

Properties
- Fermi-level density of states (states/eV per cell) = 28.2
- total energy (eV/atom) = -5.059
- energy relative to the lowest polymorph listed for this composition (eV per atom) = 0.000
- DFT formation energy (meV per atom) = 123

a b c (Å): 9.2760 12.5021 8.7631
angles (deg): 132.63 90.00 111.78
With the nearest neighbours (Å) after each atom.
Sites, in units of the cell vectors:
Sm 0.9205 0.8411 0.7219  5 Sm 3.34-3.70, 2 Pm 3.47, 3 Y 3.48-3.73
Sm 0.6689 0.6990 0.9378  4 Sm 3.35-3.70, 1 Pm 3.41, 3 Y 3.54-3.73
Sm 0.9699 0.3010 0.0622  4 Sm 3.35-3.70, 1 Pm 3.41, 3 Y 3.54-3.73
Sm 0.4338 0.2586 0.5838  4 Y 3.41-3.78, 5 Sm 3.46-3.63, 1 Pm 3.58
Sm 0.0795 0.1589 0.2781  5 Sm 3.34-3.70, 2 Pm 3.47, 3 Y 3.48-3.73
Sm 0.5662 0.7414 0.4162  4 Y 3.41-3.78, 5 Sm 3.46-3.63, 1 Pm 3.58
Sm 0.3311 0.3010 0.0622  4 Sm 3.35-3.70, 1 Pm 3.41, 3 Y 3.54-3.73
Sm 0.0301 0.6990 0.9378  4 Sm 3.35-3.70, 1 Pm 3.41, 3 Y 3.54-3.73
Sm 0.1752 0.7414 0.4162  4 Y 3.41-3.78, 5 Sm 3.46-3.63, 1 Pm 3.58
Sm 0.4407 0.8814 0.2244  2 Y 3.38-3.68, 7 Sm 3.39-3.57, 2 Pm 3.50
Sm 0.5593 0.1186 0.7756  2 Y 3.38-3.68, 7 Sm 3.39-3.57, 2 Pm 3.50
Sm 0.8248 0.2586 0.5838  4 Y 3.41-3.78, 5 Sm 3.46-3.63, 1 Pm 3.58
Y 0.2319 0.4638 0.8958  8 Sm 3.38-3.73, 2 Y 3.65-3.71
Y 0.7054 0.4108 0.3831  8 Sm 3.48-3.75, 2 Pm 3.64, 1 Y 3.65
Y 0.0000 0.0000 0.5000  10 Sm 3.52-3.78, 2 Y 3.71
Y 0.2946 0.5892 0.6169  8 Sm 3.48-3.75, 2 Pm 3.64, 1 Y 3.65
Y 0.7681 0.5362 0.1042  8 Sm 3.38-3.73, 2 Y 3.65-3.71
Pm 0.3278 0.0000 0.0000  1 Pm 3.19, 6 Sm 3.41-3.50
Pm 0.6722 0.0000 0.0000  1 Pm 3.19, 6 Sm 3.41-3.50

***

No. 3
Pm3Sm8Y3: relaxed, PBE-GGA.

Properties
- Fermi-level density of states (states/eV per cell) = 20.8
- total energy (eV/atom) = -4.997
- DFT formation energy (meV per atom) = 103

a b c (Å): 5.7257 9.7968 9.7968
angles (deg): 101.74 73.01 73.01
With the nearest neighbours (Å) after each atom.
Sites, in units of the cell vectors:
Y 0.1996 0.8003 0.8003  1 Y 3.29, 4 Pm 3.53-3.60, 4 Sm 3.60-3.61
Y 0.5000 0.5000 0.5000  2 Y 3.29
Y 0.8004 0.1997 0.1997  1 Y 3.29, 4 Pm 3.53-3.60, 4 Sm 3.60-3.61
Sm 0.6590 0.5633 0.1183  6 Sm 3.30-3.59, 2 Pm 3.65
Sm 0.6590 0.1183 0.5633  6 Sm 3.30-3.59, 2 Pm 3.65
Sm 0.1605 0.4425 0.2361  4 Sm 3.14-3.39
Sm 0.3410 0.8817 0.4367  6 Sm 3.30-3.59, 2 Pm 3.65
Sm 0.8395 0.7639 0.5575  4 Sm 3.14-3.39
Sm 0.8395 0.5575 0.7639  4 Sm 3.14-3.39
Sm 0.1605 0.2361 0.4425  4 Sm 3.14-3.39
Sm 0.3410 0.4367 0.8817  6 Sm 3.30-3.59, 2 Pm 3.65
Pm 0.0000 0.1819 0.8181  2 Y 3.53, 8 Sm 3.65-3.79
Pm 0.5000 0.0000 0.0000  4 Y 3.60, 4 Pm 3.98
Pm 0.0000 0.8181 0.1819  2 Y 3.53, 8 Sm 3.65-3.79

***

No. 4
Pm5SmY: relaxed, PBE-GGA.

Properties
- Fermi-level density of states (states/eV per cell) = 21.7
- total energy (eV/atom) = -4.823
- energy relative to the lowest polymorph listed for this composition (eV per atom) = 0.000
- DFT formation energy (meV per atom) = 168

a b c (Å): 7.2570 7.0934 12.2148
angles (deg): 99.76 72.72 124.81
With the nearest neighbours (Å) after each atom.
Sites, in units of the cell vectors:
Pm 0.2184 0.2650 0.0543  2 Sm 3.39-3.44, 1 Y 3.44, 6 Pm 3.45-3.77
Pm 0.2368 0.5179 0.5528  2 Y 3.39-3.48, 5 Pm 3.41-3.79, 1 Sm 3.46
Pm 0.7632 0.4821 0.4472  2 Y 3.39-3.48, 5 Pm 3.41-3.79, 1 Sm 3.46
Pm 0.7273 0.2350 0.0543  2 Sm 3.39-3.44, 1 Y 3.44, 6 Pm 3.45-3.77
Pm 0.7897 0.0179 0.4472  2 Y 3.39-3.48, 5 Pm 3.41-3.79, 1 Sm 3.46
Pm 0.7816 0.7350 0.9457  2 Sm 3.39-3.44, 1 Y 3.44, 6 Pm 3.45-3.77
Pm 0.6268 0.2500 0.7464  2 Y 3.59, 6 Pm 3.66-3.88, 2 Sm 3.69
Pm 0.2727 0.7650 0.9457  2 Sm 3.39-3.44, 1 Y 3.44, 6 Pm 3.45-3.77
Pm 0.3732 0.7500 0.2536  2 Y 3.59, 6 Pm 3.66-3.88, 2 Sm 3.69
Pm 0.2103 0.9821 0.5528  2 Y 3.39-3.48, 5 Pm 3.41-3.79, 1 Sm 3.46
Sm 0.0981 0.2500 0.8037  8 Pm 3.39-3.69, 2 Y 3.54
Sm 0.9019 0.7500 0.1963  8 Pm 3.39-3.69, 2 Y 3.54
Y 0.6500 0.7500 0.6999  8 Pm 3.39-3.59, 2 Sm 3.54
Y 0.3500 0.2500 0.3001  8 Pm 3.39-3.59, 2 Sm 3.54

***

No. 5
Pm2Sm3Y2: relaxed, PBE-GGA.

Properties
- Fermi-level density of states (states/eV per cell) = 11.1
- total energy (eV/atom) = -5.118
- energy relative to the lowest polymorph listed for this composition (eV per atom) = 0.095
- DFT formation energy (meV per atom) = 108

a b c (Å): 3.5467 8.6435 9.0428
angles (deg): 118.41 101.31 90.00
With the nearest neighbours (Å) after each atom.
Sites, in units of the cell vectors:
Y 0.1479 0.3318 0.2958  4 Y 3.55-3.81, 4 Sm 3.56-3.65, 4 Pm 3.65-3.77
Y 0.8521 0.6682 0.7042  4 Y 3.55-3.81, 4 Sm 3.56-3.65, 4 Pm 3.65-3.77
Sm 0.7880 0.2013 0.5761  5 Sm 3.37-3.55, 3 Pm 3.50-3.64, 3 Y 3.62-3.65
Sm 0.2120 0.7987 0.4239  5 Sm 3.37-3.55, 3 Pm 3.50-3.64, 3 Y 3.62-3.65
Sm 0.0000 0.5000 0.0000  4 Sm 3.37-3.55, 2 Y 3.56, 4 Pm 3.62
Pm 0.4342 0.0886 0.8684  3 Pm 3.36-3.55, 5 Sm 3.50-3.64, 2 Y 3.65
Pm 0.5658 0.9114 0.1316  3 Pm 3.36-3.55, 5 Sm 3.50-3.64, 2 Y 3.65

***

No. 6
Pm5SmY6: relaxed, PBE-GGA.

Properties
- Fermi-level density of states (states/eV per cell) = 14.8
- total energy (eV/atom) = -5.594
- energy relative to the lowest polymorph listed for this composition (eV per atom) = 0.000
- DFT formation energy (meV per atom) = 11

a b c (Å): 11.8732 6.2644 6.2627
angles (deg): 59.99 84.98 79.92
With the nearest neighbours (Å) after each atom.
Sites, in units of the cell vectors:
Pm 0.0000 0.6666 0.6668  6 Y 3.59, 3 Pm 3.61-3.62, 3 Sm 3.62
Pm 0.5000 0.1667 0.6666  6 Y 3.59-3.60, 6 Pm 3.62
Pm 0.5000 0.8333 0.3334  6 Y 3.59-3.60, 6 Pm 3.62
Pm 0.0000 0.3334 0.3332  6 Y 3.59, 3 Pm 3.61-3.62, 3 Sm 3.62
Pm 0.5000 0.5000 0.0000  6 Y 3.59, 6 Pm 3.62
Y 0.7502 0.0827 0.3333  1 Sm 3.59, 5 Pm 3.59-3.60, 6 Y 3.61-3.62
Y 0.2498 0.9173 0.6667  1 Sm 3.59, 5 Pm 3.59-3.60, 6 Y 3.61-3.62
Y 0.7502 0.4160 0.6667  1 Sm 3.59, 5 Pm 3.59-3.60, 6 Y 3.61-3.62
Y 0.7501 0.7494 0.0000  5 Pm 3.59, 1 Sm 3.59, 6 Y 3.62
Y 0.2498 0.5840 0.3333  1 Sm 3.59, 5 Pm 3.59-3.60, 6 Y 3.61-3.62
Y 0.2499 0.2506 0.0000  5 Pm 3.59, 1 Sm 3.59, 6 Y 3.62
Sm 0.0000 0.0000 0.0000  6 Y 3.59, 6 Pm 3.62

***

No. 7
Pm4Sm5Y2: relaxed, PBE-GGA.

Properties
- Fermi-level density of states (states/eV per cell) = 18.2
- total energy (eV/atom) = -4.909
- energy relative to the lowest polymorph listed for this composition (eV per atom) = 0.025
- DFT formation energy (meV per atom) = 139

a b c (Å): 3.5052 8.8929 12.2514
angles (deg): 97.26 98.22 90.00
With the nearest neighbours (Å) after each atom.
Sites, in units of the cell vectors:
Pm 0.0458 0.3599 0.0916  2 Y 3.31-3.38, 3 Sm 3.36-3.69, 5 Pm 3.51-3.66
Pm 0.9542 0.6401 0.9084  2 Y 3.31-3.38, 3 Sm 3.36-3.69, 5 Pm 3.51-3.66
Pm 0.3227 0.5303 0.6453  6 Pm 3.51-3.91, 5 Sm 3.62-3.69, 2 Y 3.79
Pm 0.6773 0.4697 0.3547  6 Pm 3.51-3.91, 5 Sm 3.62-3.69, 2 Y 3.79
Y 0.0908 0.7353 0.1815  2 Pm 3.31-3.38, 2 Sm 3.39-3.44, 2 Y 3.51
Y 0.9092 0.2647 0.8185  2 Pm 3.31-3.38, 2 Sm 3.39-3.44, 2 Y 3.51
Sm 0.5000 0.0000 0.0000  6 Sm 3.51-3.85, 4 Pm 3.69, 4 Y 3.84
Sm 0.1404 0.1155 0.2809  3 Pm 3.36-3.62, 1 Y 3.44, 5 Sm 3.51-3.61
Sm 0.2312 0.8238 0.4623  1 Y 3.39, 7 Sm 3.51-3.61, 3 Pm 3.63-3.69
Sm 0.8596 0.8845 0.7191  3 Pm 3.36-3.62, 1 Y 3.44, 5 Sm 3.51-3.61
Sm 0.7688 0.1762 0.5377  1 Y 3.39, 7 Sm 3.51-3.61, 3 Pm 3.63-3.69

***

No. 8
Pm8Sm2Y3: relaxed, PBE-GGA.

Properties
- Fermi-level density of states (states/eV per cell) = 20.0
- total energy (eV/atom) = -4.933
- energy relative to the lowest polymorph listed for this composition (eV per atom) = 0.193
- DFT formation energy (meV per atom) = 208

a b c (Å): 5.7182 7.7143 11.0112
angles (deg): 110.51 89.98 90.00
With the nearest neighbours (Å) after each atom.
Sites, in units of the cell vectors:
Pm 0.9997 0.8680 0.7360  2 Y 3.50, 2 Sm 3.63, 4 Pm 3.69
Pm 0.5002 0.1888 0.7890  1 Y 3.14, 1 Pm 3.17
Pm 0.4998 0.3998 0.2110  1 Y 3.14, 1 Pm 3.17
Pm 0.5002 0.6002 0.7890  1 Y 3.14, 1 Pm 3.17
Pm 0.0003 0.1320 0.2640  2 Y 3.50, 2 Sm 3.63, 4 Pm 3.69
Pm 0.4998 0.8112 0.2110  1 Y 3.14, 1 Pm 3.17
Pm 0.9994 0.6707 0.3414  2 Sm 3.39-3.40, 4 Pm 3.53-3.54
Pm 0.0006 0.3293 0.6586  2 Sm 3.39-3.40, 4 Pm 3.53-3.54
Y 0.0000 0.7153 0.0000  3 Y 3.32-3.61, 6 Pm 3.50-3.59
Y 0.0000 0.2847 0.0000  3 Y 3.32-3.61, 6 Pm 3.50-3.59
Y 0.5000 0.0000 0.0000  4 Pm 3.14
Sm 0.4992 0.7594 0.5189  8 Pm 3.39-3.63
Sm 0.5008 0.2406 0.4811  8 Pm 3.39-3.63